# 1
Here is crystalline Cs4Nd3PaS8 at its relaxed geometry from Alexandria. Energies are from PBE.

Cell: 9.456 9.456 9.456 Å, 52.92 52.92 52.92°
Positions (direct):
1 Cs 0.000 0.000 0.000
2 Cs 0.000 0.500 0.500
3 Cs 0.500 0.000 0.500
4 Cs 0.500 0.500 0.000
5 Nd 0.000 0.000 0.500
6 Nd 0.000 0.500 0.000
7 Nd 0.500 0.000 0.000
8 Pa 0.500 0.500 0.500
9 S 0.230 0.230 0.230
10 S 0.239 0.723 0.723
11 S 0.277 0.277 0.761
12 S 0.277 0.761 0.277
13 S 0.723 0.239 0.723
14 S 0.723 0.723 0.239
15 S 0.761 0.277 0.277
16 S 0.770 0.770 0.770

Values from the calculation:
uncorrected energy	-5.470	eV per atom
total moment	0.102	μB/atom
density of states at the Fermi level	10.40	states/eV/f.u.
space-group type	R-3m, No. 166

---

# 2
Here is crystalline BaIrOs at its relaxed geometry from Alexandria. Energies are from PBE.

Cell: 4.221 4.221 5.186 Å, 90.00 90.00 120.00°
Positions (direct):
1 Ba 0.000 0.000 0.000
2 Ir 0.667 0.333 0.500
3 Os 0.333 0.667 0.500

Values from the calculation:
uncorrected energy	-7.137	eV per atom
formation energy	201	meV/atom
total moment	0.000	μB/atom
density of states at the Fermi level	2.17	states/eV/f.u.
space-group type	P-6m2, No. 187

---

# 3
Here is crystalline NaIn2Pb3 at its relaxed geometry from Alexandria. Energies are from PBE.

Cell: 9.102 9.102 11.061 Å, 90.00 90.00 157.35°
Positions (direct):
1 Na 0.221 0.779 0.750
2 Na 0.779 0.221 0.250
3 In 0.000 0.000 0.000
4 In 0.000 0.000 0.500
5 In 0.446 0.554 0.250
6 In 0.554 0.446 0.750
7 Pb 0.108 0.892 0.250
8 Pb 0.334 0.666 0.004
9 Pb 0.334 0.666 0.496
10 Pb 0.666 0.334 0.504
11 Pb 0.666 0.334 0.996
12 Pb 0.892 0.108 0.750

Values from the calculation:
uncorrected energy	-3.027	eV per atom
formation energy	-40	meV/atom
total moment	0.000	μB/atom
density of states at the Fermi level	2.71	states/eV/f.u.
space-group type	Cmcm, No. 63

---

# 4
Here is crystalline NaSn3H at its relaxed geometry from Alexandria. Energies are from PBE.

Cell: 4.803 4.803 4.803 Å, 90.00 90.00 90.00°
Positions (direct):
1 Na 0.000 0.000 0.000
2 Sn 0.000 0.500 0.500
3 Sn 0.500 0.000 0.500
4 Sn 0.500 0.500 0.000
5 H 0.500 0.500 0.500

Values from the calculation:
uncorrected energy	-3.223	eV per atom
total moment	0.000	μB/atom
density of states at the Fermi level	1.44	states/eV/f.u.
space-group type	Pm-3m, No. 221